The following is a DFT calculation (PBE with a Hubbard U) of a relaxed structure of TbVO3.

Computed properties:
Total moment in Bohr magnetons per cell: 2.00
Uncorrected energy in eV per atom: -7.856

abc: 3.881 3.881 3.881
angles: 90.00 90.00 90.00
Element x y z (fractional)
Tb: 0.000 0.000 0.000
V: 0.500 0.500 0.500
O: 0.000 0.500 0.500
O: 0.500 0.000 0.500
O: 0.500 0.500 0.000